First-principles (meta-GGA SCAN) data for a PBEsol-optimized structure of Na2TiS2O, as listed in Alexandria via LeMat-Bulk.

a = 5.732 Å, b = 6.826 Å, c = 13.550 Å
α = 90.00°, β = 90.00°, γ = 113.39°
Fractional coordinates of all 24 atoms:
Na: 0.455 0.395 0.639
Na: 0.352 0.213 0.057
Na: 0.955 0.395 0.861
Na: 0.148 0.787 0.557
Na: 0.852 0.213 0.443
Na: 0.045 0.605 0.139
Na: 0.648 0.787 0.943
Na: 0.545 0.605 0.361
Ti: 0.838 0.021 0.683
Ti: 0.162 0.979 0.317
Ti: 0.338 0.021 0.817
Ti: 0.662 0.979 0.183
S: 0.353 0.191 0.443
S: 0.943 0.364 0.644
S: 0.557 0.636 0.144
S: 0.853 0.191 0.057
S: 0.057 0.636 0.356
S: 0.443 0.364 0.856
S: 0.647 0.809 0.557
S: 0.147 0.809 0.943
O: 0.867 0.020 0.292
O: 0.633 0.980 0.792
O: 0.367 0.020 0.208
O: 0.133 0.980 0.708

For the total energy, the calculation gives -10.255 eV/atom. As for the density of states at the Fermi level: 0.00 states/eV/atom. The calculation puts the formation energy without anion corrections at -1.9306 eV per atom.